(1)
Below is a relaxed structure of Pm6Nd3Dy2Y, with properties calculated at the PBE level.

Summary:
**V**: 34.0 Å³/atom
**Formation energy from the elements**: 0.014 eV per atom
**Density of states at the Fermi level**: 1.394 states/eV per atom

Lattice parameters (Å, degrees): 6.306 10.921 12.035 90.00 100.07 90.00
Space group C2/m (No. 12)
Asymmetric unit:
Pm 0.248 0.000 0.246 x4
Pm 0.250 0.167 0.754 x8
Nd 0.000 0.000 0.500 x2
Nd 0.000 0.333 0.500 x4
Dy 0.000 0.167 0.000 x4
Y 0.000 0.500 0.000 x2


(2)
Below is a relaxed structure of Be3Tl, with properties calculated at the PBE level.

Summary:
**V**: 13.0 Å³/atom
**Relative energy among the computed polymorphs**: 0.376 eV/atom
**Formation energy from the elements**: 0.732 eV per atom
**Density of states at the Fermi level**: 0.167 states/eV per atom

Lattice parameters (Å, degrees): 4.708 4.708 4.708 90.00 90.00 90.00
Space group Pm-3n (No. 223)
Asymmetric unit:
Be 0.000 0.250 0.500 x6
Tl 0.000 0.000 0.000 x2


(3)
Below is a relaxed structure of CeTm12In6, with properties calculated at the PBE level.

Summary:
**V**: 32.1 Å³/atom
**Formation energy from the elements**: -0.024 eV per atom
**Density of states at the Fermi level**: 1.728 states/eV per atom

Lattice parameters (Å, degrees): 13.7583 13.7583 11.1674 90.00 90.00 120.00
Space group R-3m (No. 166, hexagonal axes)
Asymmetric unit:
Ce 0.0000 0.0000 0.0000 x3
Tm 0.0000 0.3736 0.5000 x18
Tm 0.0895 0.1790 0.3611 x18
In 0.0284 0.5142 0.2767 x18


(4)
Below is a relaxed structure of Ac2LaMg2, with properties calculated at the PBE level.

Summary:
**V**: 36.4 Å³/atom
**Formation energy from the elements**: 0.008 eV per atom
**Density of states at the Fermi level**: 1.174 states/eV per atom

Lattice parameters (Å, degrees): 4.071 22.348 3.999 90.00 90.00 90.00
Space group Cmmm (No. 65)
Asymmetric unit:
Ac 0.000 0.177 0.000 x4
La 0.000 0.000 0.000 x2
Mg 0.000 0.418 0.500 x4


(5)
Below is a relaxed structure of La2Mn3FeSi4, with properties calculated at the PBE level.

Summary:
**V**: 16.9 Å³/atom
**Density of states at the Fermi level**: 0.638 states/eV per atom
**Energy relative to the elements, uncorrected**: -0.555 eV per atom

Lattice parameters (Å, degrees): 4.003 4.003 10.557 90.00 90.00 90.00
Space group P-4m2 (No. 115)
Asymmetric unit:
La 0.000 0.500 0.247 x2
Mn 0.000 0.000 0.000 x1
Mn 0.000 0.000 0.500 x1
Mn 0.500 0.500 0.500 x1
Fe 0.500 0.500 0.000 x1
Si 0.000 0.500 0.623 x2
Si 0.000 0.500 0.882 x2


(6)
Below is a relaxed structure of FeSiRh2, with properties calculated at the PBE level.

Summary:
**V**: 13.2 Å³/atom
**Density of states at the Fermi level**: 0.825 states/eV per atom
**Energy relative to the elements, uncorrected**: -0.389 eV per atom

Lattice parameters (Å, degrees): 9.033 2.827 4.334 90.00 106.87 90.00
Space group Cm (No. 8)
Asymmetric unit:
Fe 0.000 0.000 0.000 x2
Si 0.237 0.500 0.353 x2
Rh 0.249 0.000 0.854 x2
Rh 0.471 0.000 0.479 x2


(7)
Below is a relaxed structure of LiNd6Tl5, with properties calculated at the PBE level.

Summary:
**V**: 29.6 Å³/atom
**Relative energy among the computed polymorphs**: 0.000 eV/atom
**Formation energy from the elements**: -0.334 eV per atom
**Density of states at the Fermi level**: 1.136 states/eV per atom

Lattice parameters (Å, degrees): 5.516 16.632 7.732 90.00 90.00 90.00
Space group Cmmm (No. 65)
Asymmetric unit:
Li 0.000 0.000 0.000 x2
Nd 0.000 0.168 0.246 x8
Nd 0.000 0.500 0.253 x4
Tl 0.000 0.000 0.500 x2
Tl 0.000 0.334 0.500 x4
Tl 0.000 0.343 0.000 x4


(8)
Below is a relaxed structure of YCdFe, with properties calculated at the PBE level.

Summary:
**V**: 26.4 Å³/atom
**Formation energy from the elements**: 0.808 eV per atom
**Density of states at the Fermi level**: 2.747 states/eV per atom

Lattice parameters (Å, degrees): 6.819 6.819 6.819 90.00 90.00 90.00
Space group F-43m (No. 216)
Asymmetric unit:
Y 0.000 0.000 0.000 x4
Cd 0.250 0.250 0.250 x4
Fe 0.250 0.250 0.750 x4


(9)
Below is a relaxed structure of KZnSi, with properties calculated at the PBE level.

Summary:
**V**: 34.2 Å³/atom
**Relative energy among the computed polymorphs**: 1.032 eV/atom
**Density of states at the Fermi level**: 0.543 states/eV per atom
**Energy relative to the elements, uncorrected**: 1.057 eV per atom

Lattice parameters (Å, degrees): 7.433 7.433 7.433 90.00 90.00 90.00
Space group F-43m (No. 216)
Asymmetric unit:
K 0.000 0.000 0.000 x4
Zn 0.250 0.250 0.750 x4
Si 0.250 0.250 0.250 x4


(10)
Below is a relaxed structure of NaAc3, with properties calculated at the PBE level.

Summary:
**V**: 43.1 Å³/atom
**Relative energy among the computed polymorphs**: 0.054 eV/atom
**Formation energy from the elements**: 0.175 eV per atom
**Density of states at the Fermi level**: 1.470 states/eV per atom

Lattice parameters (Å, degrees): 5.524 5.524 11.293 90.00 90.00 90.00
Space group I4/mmm (No. 139)
Asymmetric unit:
Na 0.000 0.000 0.000 x2
Ac 0.000 0.000 0.500 x2
Ac 0.000 0.500 0.250 x4


(11)
Below is a relaxed structure of ZnBiPb2, with properties calculated at the PBE level.

Summary:
**V**: 28.9 Å³/atom
**Relative energy among the computed polymorphs**: 0.013 eV/atom
**Formation energy from the elements**: 0.136 eV per atom
**Density of states at the Fermi level**: 0.800 states/eV per atom

Lattice parameters (Å, degrees): 5.042 5.042 4.549 90.00 90.00 90.00
Space group P4/mmm (No. 123)
Asymmetric unit:
Zn 0.000 0.000 0.000 x1
Bi 0.500 0.500 0.000 x1
Pb 0.000 0.500 0.500 x2


(12)
Below is a relaxed structure of MnNi2H6, with properties calculated at the PBE level.

Summary:
**V**: 6.9 Å³/atom
**Density of states at the Fermi level**: 0.140 states/eV per atom
**Total DFT energy (no corrections)**: -4.46 eV/atom

Lattice parameters (Å, degrees): 7.991 6.994 4.666 90.00 108.70 90.00
Space group C2/c (No. 15)
Asymmetric unit:
Mn 0.000 0.249 0.250 x4
Ni 0.250 0.066 0.003 x8
H 0.118 0.250 0.980 x8
H 0.135 0.074 0.634 x8
H 0.137 0.423 0.626 x8


(13)
Below is a relaxed structure of GdDyTmCd, with properties calculated at the PBE level.

Summary:
**V**: 28.3 Å³/atom
**Formation energy from the elements**: -0.041 eV per atom
**Density of states at the Fermi level**: 1.214 states/eV per atom

Lattice parameters (Å, degrees): 7.683 7.683 7.683 90.00 90.00 90.00
Space group F-43m (No. 216)
Asymmetric unit:
Gd 0.000 0.000 0.000 x4
Dy 0.000 0.000 0.500 x4
Tm 0.250 0.250 0.750 x4
Cd 0.250 0.250 0.250 x4


(14)
Below is a relaxed structure of Tb3PmTe3, with properties calculated at the PBE level.

Summary:
**V**: 30.4 Å³/atom
**Density of states at the Fermi level**: 0.817 states/eV per atom
**Energy relative to the elements, uncorrected**: -1.056 eV per atom

Lattice parameters (Å, degrees): 9.0956 9.0956 17.8105 90.00 90.00 120.00
Space group R-3 (No. 148, hexagonal axes)
Asymmetric unit:
Tb 0.0073 0.2497 0.4147 x18
Pm 0.0000 0.0000 0.1876 x6
Te 0.0202 0.3976 0.5816 x18


(15)
Below is a relaxed structure of Ba3Li3Pb2, with properties calculated at the PBE level.

Summary:
**V**: 35.7 Å³/atom
**Formation energy from the elements**: -0.351 eV per atom
**Density of states at the Fermi level**: 0.519 states/eV per atom

Lattice parameters (Å, degrees): 9.646 17.707 6.692 90.00 90.00 90.00
Space group Pnma (No. 62)
Asymmetric unit:
Ba 0.044 0.098 0.137 x8
Ba 0.153 0.250 0.652 x4
Li 0.162 0.036 0.612 x8
Li 0.167 0.750 0.589 x4
Pb 0.126 0.602 0.362 x8


(16)
Below is a relaxed structure of Ca2NiPbSe, with properties calculated at the PBE level.

Summary:
**V**: 28.1 Å³/atom
**Density of states at the Fermi level**: 0.574 states/eV per atom
**Energy relative to the elements, uncorrected**: -0.415 eV per atom

Lattice parameters (Å, degrees): 5.770 5.770 4.215 90.00 90.00 90.00
Space group P4/mmm (No. 123)
Asymmetric unit:
Ca 0.000 0.500 0.000 x2
Ni 0.000 0.000 0.000 x1
Pb 0.500 0.500 0.500 x1
Se 0.000 0.000 0.500 x1


(17)
Below is a relaxed structure of BaGaO2, with properties calculated at the PBE level.

Summary:
**V**: 22.2 Å³/atom
**Density of states at the Fermi level**: 0.323 states/eV per atom
**Energy relative to the elements, uncorrected**: -1.772 eV per atom

Lattice parameters (Å, degrees): 4.0451 4.0451 18.8038 90.00 90.00 120.00
Space group R-3m (No. 166, hexagonal axes)
Asymmetric unit:
Ba 0.0000 0.0000 0.0000 x3
Ga 0.0000 0.0000 0.5000 x3
O 0.0000 0.0000 0.4049 x6


(18)
Below is a relaxed structure of CoNiW2, with properties calculated at the PBE level.

Summary:
**V**: 13.3 Å³/atom
**Relative energy among the computed polymorphs**: 0.016 eV/atom
**Formation energy from the elements**: 0.056 eV per atom
**Density of states at the Fermi level**: 0.919 states/eV per atom

Lattice parameters (Å, degrees): 5.322 7.460 2.688 90.00 90.00 90.00
Space group Cmmm (No. 65)
Asymmetric unit:
Co 0.000 0.000 0.000 x2
Ni 0.000 0.500 0.000 x2
W 0.250 0.250 0.500 x4


(19)
Below is a relaxed structure of HfPtAu, with properties calculated at the PBE level.

Summary:
**V**: 21.5 Å³/atom
**Relative energy among the computed polymorphs**: 0.391 eV/atom
**Formation energy from the elements**: -0.530 eV per atom
**Density of states at the Fermi level**: 0.640 states/eV per atom

Lattice parameters (Å, degrees): 6.039 12.437 13.747 90.00 90.00 90.00
Space group Fddd (No. 70, origin choice 2)
Asymmetric unit:
Hf 0.125 0.314 0.125 x16
Pt 0.125 0.125 0.022 x16
Au 0.000 0.000 0.500 x16


(20)
Below is a relaxed structure of LiNi2Ru, with properties calculated at the PBE level.

Summary:
**V**: 11.9 Å³/atom
**Relative energy among the computed polymorphs**: 0.000 eV/atom
**Formation energy from the elements**: 0.034 eV per atom
**Density of states at the Fermi level**: 1.200 states/eV per atom

Lattice parameters (Å, degrees): 2.540 4.191 4.473 90.00 90.00 90.00
Space group Pmm2 (No. 25)
Asymmetric unit:
Li 0.000 0.000 0.000 x1
Ni 0.500 0.000 0.511 x1
Ni 0.500 0.500 0.863 x1
Ru 0.000 0.500 0.362 x1